Entry 1:
A plane-wave DFT calculation with PBE-GGA was carried out for a relaxed structure of BeHPt2Pb.

Cell lengths 5.1804, 5.1804, 4.7610 Å; angles 90.00, 90.00, 90.00 degrees
Closest atoms and distances in Å follow each position.
Fractional positions:
1 Be 0.0000 0.0000 0.0000  2 Pb 2.38
2 H 0.5000 0.5000 0.0000  8 Pt 3.52, 4 Be 3.66
3 Pt 0.0000 0.5000 0.5000  2 Pb 2.59
4 Pt 0.5000 0.0000 0.5000  2 Pb 2.59
5 Pb 0.0000 0.0000 0.5000  2 Be 2.38, 4 Pt 2.59

Values from the calculation:
Space-group type = P4/mmm
Electronic total energy = -2.86 eV per atom
M_tot = 1.11 μB/f.u.

Entry 2:
A plane-wave DFT calculation with PBE-GGA was carried out for a relaxed structure of Tb2LuTi.

Cell lengths 3.6280, 3.6280, 8.4507 Å; angles 90.00, 90.00, 90.00 degrees
Closest atoms and distances in Å follow each position.
Fractional positions:
1 Tb 0.0000 0.0000 0.2138  4 Ti 3.14
2 Tb 0.0000 0.0000 0.7862  4 Ti 3.14
3 Lu 0.5000 0.5000 0.5000  8 Tb 3.53, 4 Lu 3.63
4 Ti 0.5000 0.5000 0.0000  8 Tb 3.14

Values from the calculation:
Space-group type = P4/mmm
ΔE to the lowest computed polymorph = 0.0000 eV per atom
M_tot = 1.41 μB/f.u.

- Which of these has the highest M_tot?
  Tb2LuTi